Entry 1:
## Ca9Mg2Cu (PBE)

Data for an optimized crystal structure of Ca9Mg2Cu.

crystal system: monoclinic
space group: C2/m, No. 12
density of states at the Fermi level: 14.8 states/eV/cell
theoretical density: 1.59 g/cm³
total DFT energy (no corrections): -1.6661 eV per atom
size of the total moment: 0.0 μB/cell
formation enthalpy at 0 K: 442 meV per atom

Lattice parameters (Å, degrees): 12.7951 12.7951 12.7909 30.99 30.99 30.99
Atoms (fractional coordinates):
1 Ca 0.3333 0.3333 0.3337
2 Ca 0.6667 0.6667 0.6663
3 Ca 0.5000 0.5000 0.5000
4 Ca 0.5906 0.5906 0.0843
5 Ca 0.0842 0.5907 0.5909
6 Ca 0.5907 0.0842 0.5909
7 Ca 0.4094 0.4094 0.9157
8 Ca 0.4093 0.9158 0.4091
9 Ca 0.9158 0.4093 0.4091
10 Mg 0.1533 0.1533 0.1531
11 Mg 0.8467 0.8467 0.8469
12 Cu 0.0000 0.0000 0.0000

Entry 2:
## ThInPt6 (PBE)

Data for an optimized crystal structure of ThInPt6.

crystal system: tetragonal
space group: P4/mmm, No. 123
density of states at the Fermi level: 4.0 states/eV/cell
theoretical density: 17.66 g/cm³
total DFT energy (no corrections): -6.5479 eV per atom
size of the total moment: 0.0 μB/cell
formation enthalpy at 0 K: -748 meV per atom

Lattice parameters (Å, degrees): 4.1722 4.1722 8.1959 90.00 90.00 90.00
Atoms (fractional coordinates):
1 Th 0.0000 0.0000 0.0000
2 In 0.0000 0.0000 0.5000
3 Pt 0.5000 0.5000 0.0000
4 Pt 0.5000 0.5000 0.5000
5 Pt 0.5000 0.0000 0.2586
6 Pt 0.5000 0.0000 0.7414
7 Pt 0.0000 0.5000 0.2586
8 Pt 0.0000 0.5000 0.7414